# NaSi3Ni | Alexandria via LeMat-Bulk | GGA-PBE | optimized geometry
# - Energy: -2.833 eV per atom
data_NaSi3Ni
_space_group_name_H-M_alt 'P m -3 m'
_space_group_IT_number 221
_space_group_name_Hall '-P 4 2 3'
_cell_length_a 4.7730
_cell_length_b 4.7730
_cell_length_c 4.7730
_cell_angle_alpha 90.00
_cell_angle_beta 90.00
_cell_angle_gamma 90.00
loop_
_atom_site_label
_atom_site_type_symbol
_atom_site_fract_x
_atom_site_fract_y
_atom_site_fract_z
Na1 Na 0.0000 0.0000 0.0000
Si1 Si 0.0000 0.0000 0.5000
Ni1 Ni 0.5000 0.5000 0.5000